## Li2TaTeO6 (GGA-PBE)

Data for a relaxed Li2TaTeO6 crystal.

N(E_F) in states/eV/f.u.: 0.2
Space group: P4mm, No. 99
Uncorrected formation energy in eV per atom: -1.8865

```
data_Li2TaTeO6
_symmetry_space_group_name_H-M 'P 1'
_symmetry_Int_Tables_number 1
_cell_length_a 5.679
_cell_length_b 5.679
_cell_length_c 4.046
_cell_angle_alpha 90.00
_cell_angle_beta 90.00
_cell_angle_gamma 90.00
loop_
_symmetry_equiv_pos_as_xyz
'x,y,z'
loop_
_atom_site_label
_atom_site_type_symbol
_atom_site_fract_x
_atom_site_fract_y
_atom_site_fract_z
_atom_site_occupancy
Li1 Li 0.000 0.500 0.000 1
Li2 Li 0.500 0.000 0.000 1
Ta1 Ta 0.000 0.000 0.741 1
Te1 Te 0.500 0.500 0.769 1
O1 O 0.000 0.000 0.288 1
O2 O 0.246 0.246 0.823 1
O3 O 0.246 0.754 0.823 1
O4 O 0.500 0.500 0.280 1
O5 O 0.754 0.246 0.823 1
O6 O 0.754 0.754 0.823 1
```

=====

## LiTaTeO6 (GGA-PBE)

Data for a relaxed LiTaTeO6 crystal.

N(E_F) in states/eV/f.u.: 0.0
Space group: P-31c, No. 163
Uncorrected formation energy in eV per atom: -1.8369

```
data_LiTaTeO6
_symmetry_space_group_name_H-M 'P 1'
_symmetry_Int_Tables_number 1
_cell_length_a 5.280
_cell_length_b 5.280
_cell_length_c 9.670
_cell_angle_alpha 90.00
_cell_angle_beta 90.00
_cell_angle_gamma 120.00
loop_
_symmetry_equiv_pos_as_xyz
'x,y,z'
loop_
_atom_site_label
_atom_site_type_symbol
_atom_site_fract_x
_atom_site_fract_y
_atom_site_fract_z
_atom_site_occupancy
Li1 Li 0.000 0.000 0.000 1
Li2 Li 0.000 0.000 0.500 1
Ta1 Ta 0.333 0.667 0.250 1
Ta2 Ta 0.667 0.333 0.750 1
Te1 Te 0.333 0.667 0.750 1
Te2 Te 0.667 0.333 0.250 1
O1 O 0.008 0.375 0.639 1
O2 O 0.008 0.633 0.861 1
O3 O 0.367 0.375 0.861 1
O4 O 0.367 0.992 0.639 1
O5 O 0.375 0.008 0.139 1
O6 O 0.375 0.367 0.361 1
O7 O 0.625 0.633 0.639 1
O8 O 0.625 0.992 0.861 1
O9 O 0.633 0.008 0.361 1
O10 O 0.633 0.625 0.139 1
O11 O 0.992 0.367 0.139 1
O12 O 0.992 0.625 0.361 1
```

=====

## LiTaTeO5 (GGA-PBE)

Data for a relaxed LiTaTeO5 crystal.

N(E_F) in states/eV/f.u.: 0.0
Space group: C2/c, No. 15
Uncorrected formation energy in eV per atom: -1.9694

```
data_LiTaTeO5
_symmetry_space_group_name_H-M 'P 1'
_symmetry_Int_Tables_number 1
_cell_length_a 5.759
_cell_length_b 5.759
_cell_length_c 7.814
_cell_angle_alpha 109.15
_cell_angle_beta 109.15
_cell_angle_gamma 95.36
loop_
_symmetry_equiv_pos_as_xyz
'x,y,z'
loop_
_atom_site_label
_atom_site_type_symbol
_atom_site_fract_x
_atom_site_fract_y
_atom_site_fract_z
_atom_site_occupancy
Li1 Li 0.067 0.933 0.750 1
Li2 Li 0.933 0.067 0.250 1
Ta1 Ta 0.000 0.500 0.000 1
Ta2 Ta 0.500 0.000 0.500 1
Te1 Te 0.422 0.578 0.750 1
Te2 Te 0.578 0.422 0.250 1
O1 O 0.157 0.650 0.848 1
O2 O 0.225 0.257 0.990 1
O3 O 0.257 0.225 0.490 1
O4 O 0.264 0.736 0.250 1
O5 O 0.350 0.843 0.652 1
O6 O 0.650 0.157 0.348 1
O7 O 0.736 0.264 0.750 1
O8 O 0.743 0.775 0.510 1
O9 O 0.775 0.743 0.010 1
O10 O 0.843 0.350 0.152 1
```

=====

## LiTaTe2O8 (GGA-PBE)

Data for a relaxed LiTaTe2O8 crystal.

N(E_F) in states/eV/f.u.: 2.4
Space group: Cmmm, No. 65
Uncorrected formation energy in eV per atom: -1.5791

```
data_LiTaTe2O8
_symmetry_space_group_name_H-M 'P 1'
_symmetry_Int_Tables_number 1
_cell_length_a 4.792
_cell_length_b 4.792
_cell_length_c 6.514
_cell_angle_alpha 90.00
_cell_angle_beta 90.00
_cell_angle_gamma 91.52
loop_
_symmetry_equiv_pos_as_xyz
'x,y,z'
loop_
_atom_site_label
_atom_site_type_symbol
_atom_site_fract_x
_atom_site_fract_y
_atom_site_fract_z
_atom_site_occupancy
Li1 Li 0.000 0.000 0.000 1
Ta1 Ta 0.000 0.000 0.500 1
Te1 Te 0.500 0.500 0.242 1
Te2 Te 0.500 0.500 0.758 1
O1 O 0.197 0.197 0.272 1
O2 O 0.197 0.197 0.728 1
O3 O 0.301 0.699 0.500 1
O4 O 0.314 0.686 0.000 1
O5 O 0.686 0.314 0.000 1
O6 O 0.699 0.301 0.500 1
O7 O 0.803 0.803 0.272 1
O8 O 0.803 0.803 0.728 1
```

=====

## Li2TaTiO6 (GGA-PBE)

Data for a relaxed Li2TaTiO6 crystal.

N(E_F) in states/eV/f.u.: 6.4
Space group: R3, No. 146
Uncorrected formation energy in eV per atom: -2.4680

```
data_Li2TaTiO6
_symmetry_space_group_name_H-M 'P 1'
_symmetry_Int_Tables_number 1
_cell_length_a 5.513
_cell_length_b 5.513
_cell_length_c 5.513
_cell_angle_alpha 55.85
_cell_angle_beta 55.85
_cell_angle_gamma 55.85
loop_
_symmetry_equiv_pos_as_xyz
'x,y,z'
loop_
_atom_site_label
_atom_site_type_symbol
_atom_site_fract_x
_atom_site_fract_y
_atom_site_fract_z
_atom_site_occupancy
Li1 Li 0.000 0.000 0.000 1
Li2 Li 0.496 0.496 0.496 1
Ta1 Ta 0.715 0.715 0.715 1
Ti1 Ti 0.211 0.211 0.211 1
O1 O 0.078 0.438 0.834 1
O2 O 0.341 0.944 0.563 1
O3 O 0.438 0.834 0.078 1
O4 O 0.563 0.341 0.944 1
O5 O 0.834 0.078 0.438 1
O6 O 0.944 0.563 0.341 1
```

=====

## Li3Ta4TlO12 (GGA-PBE)

Data for a relaxed Li3Ta4TlO12 crystal.

Space group: Im-3, No. 204
Uncorrected formation energy in eV per atom: -2.5219

```
data_Li3Ta4TlO12
_symmetry_space_group_name_H-M 'P 1'
_symmetry_Int_Tables_number 1
_cell_length_a 6.710
_cell_length_b 6.710
_cell_length_c 6.710
_cell_angle_alpha 109.47
_cell_angle_beta 109.47
_cell_angle_gamma 109.47
loop_
_symmetry_equiv_pos_as_xyz
'x,y,z'
loop_
_atom_site_label
_atom_site_type_symbol
_atom_site_fract_x
_atom_site_fract_y
_atom_site_fract_z
_atom_site_occupancy
Li1 Li 0.000 0.500 0.500 1
Li2 Li 0.500 0.000 0.500 1
Li3 Li 0.500 0.500 0.000 1
Ta1 Ta 0.000 0.000 0.500 1
Ta2 Ta 0.000 0.500 0.000 1
Ta3 Ta 0.500 0.000 0.000 1
Ta4 Ta 0.500 0.500 0.500 1
Tl1 Tl 0.000 0.000 0.000 1
O1 O 0.099 0.799 0.300 1
O2 O 0.201 0.300 0.500 1
O3 O 0.201 0.700 0.901 1
O4 O 0.300 0.099 0.799 1
O5 O 0.300 0.500 0.201 1
O6 O 0.500 0.201 0.300 1
O7 O 0.500 0.799 0.700 1
O8 O 0.700 0.500 0.799 1
O9 O 0.700 0.901 0.201 1
O10 O 0.799 0.300 0.099 1
O11 O 0.799 0.700 0.500 1
O12 O 0.901 0.201 0.700 1
```

=====

## LiTm2TaO6 (GGA-PBE)

Data for a relaxed LiTm2TaO6 crystal.

N(E_F) in states/eV/f.u.: 0.0
Space group: R3, No. 146
Uncorrected formation energy in eV per atom: -3.1656

```
data_LiTm2TaO6
_symmetry_space_group_name_H-M 'P 1'
_symmetry_Int_Tables_number 1
_cell_length_a 5.920
_cell_length_b 5.920
_cell_length_c 5.920
_cell_angle_alpha 55.45
_cell_angle_beta 55.45
_cell_angle_gamma 55.45
loop_
_symmetry_equiv_pos_as_xyz
'x,y,z'
loop_
_atom_site_label
_atom_site_type_symbol
_atom_site_fract_x
_atom_site_fract_y
_atom_site_fract_z
_atom_site_occupancy
Li1 Li 0.000 0.000 0.000 1
Tm1 Tm 0.244 0.244 0.244 1
Tm2 Tm 0.746 0.746 0.746 1
Ta1 Ta 0.541 0.541 0.541 1
O1 O 0.180 0.458 0.806 1
O2 O 0.351 0.916 0.638 1
O3 O 0.458 0.806 0.180 1
O4 O 0.638 0.351 0.916 1
O5 O 0.806 0.180 0.458 1
O6 O 0.916 0.638 0.351 1
```

=====

## LiUTa2O8 (GGA-PBE)

Data for a relaxed LiUTa2O8 crystal.

N(E_F) in states/eV/f.u.: 1.7
Space group: P2/m, No. 10
Uncorrected formation energy in eV per atom: -2.8490

```
data_LiUTa2O8
_symmetry_space_group_name_H-M 'P 1'
_symmetry_Int_Tables_number 1
_cell_length_a 4.978
_cell_length_b 6.235
_cell_length_c 4.983
_cell_angle_alpha 90.00
_cell_angle_beta 92.79
_cell_angle_gamma 90.00
loop_
_symmetry_equiv_pos_as_xyz
'x,y,z'
loop_
_atom_site_label
_atom_site_type_symbol
_atom_site_fract_x
_atom_site_fract_y
_atom_site_fract_z
_atom_site_occupancy
Li1 Li 0.000 0.000 0.000 1
U1 U 0.000 0.500 0.000 1
Ta1 Ta 0.500 0.240 0.500 1
Ta2 Ta 0.500 0.760 0.500 1
O1 O 0.212 0.256 0.210 1
O2 O 0.212 0.744 0.210 1
O3 O 0.317 0.500 0.682 1
O4 O 0.322 0.000 0.677 1
O5 O 0.678 0.000 0.323 1
O6 O 0.683 0.500 0.318 1
O7 O 0.788 0.256 0.790 1
O8 O 0.788 0.744 0.790 1
```

=====

## Li2UTaO6 (GGA-PBE)

Data for a relaxed Li2UTaO6 crystal.

N(E_F) in states/eV/f.u.: 0.5
Space group: P2_1/c, No. 14
Uncorrected formation energy in eV per atom: -2.7808

```
data_Li2UTaO6
_symmetry_space_group_name_H-M 'P 1'
_symmetry_Int_Tables_number 1
_cell_length_a 5.377
_cell_length_b 5.703
_cell_length_c 9.551
_cell_angle_alpha 90.00
_cell_angle_beta 124.23
_cell_angle_gamma 90.00
loop_
_symmetry_equiv_pos_as_xyz
'x,y,z'
loop_
_atom_site_label
_atom_site_type_symbol
_atom_site_fract_x
_atom_site_fract_y
_atom_site_fract_z
_atom_site_occupancy
Li1 Li 0.249 0.030 0.252 1
Li2 Li 0.249 0.470 0.752 1
Li3 Li 0.751 0.530 0.248 1
Li4 Li 0.751 0.970 0.748 1
U1 U 0.500 0.000 0.000 1
U2 U 0.500 0.500 0.500 1
Ta1 Ta 0.000 0.000 0.500 1
Ta2 Ta 0.000 0.500 0.000 1
O1 O 0.116 0.529 0.239 1
O2 O 0.116 0.971 0.739 1
O3 O 0.233 0.200 0.061 1
O4 O 0.233 0.300 0.561 1
O5 O 0.368 0.681 0.061 1
O6 O 0.368 0.819 0.561 1
O7 O 0.632 0.181 0.439 1
O8 O 0.632 0.319 0.939 1
O9 O 0.767 0.700 0.439 1
O10 O 0.767 0.800 0.939 1
O11 O 0.884 0.029 0.261 1
O12 O 0.884 0.471 0.761 1
```

=====

## LiUTaO6 (GGA-PBE)

Data for a relaxed LiUTaO6 crystal.

N(E_F) in states/eV/f.u.: 0.0
Space group: P-31c, No. 163
Uncorrected formation energy in eV per atom: -2.7711

```
data_LiUTaO6
_symmetry_space_group_name_H-M 'P 1'
_symmetry_Int_Tables_number 1
_cell_length_a 5.531
_cell_length_b 5.531
_cell_length_c 9.472
_cell_angle_alpha 90.00
_cell_angle_beta 90.00
_cell_angle_gamma 120.00
loop_
_symmetry_equiv_pos_as_xyz
'x,y,z'
loop_
_atom_site_label
_atom_site_type_symbol
_atom_site_fract_x
_atom_site_fract_y
_atom_site_fract_z
_atom_site_occupancy
Li1 Li 0.000 0.000 0.000 1
Li2 Li 0.000 0.000 0.500 1
U1 U 0.333 0.667 0.250 1
U2 U 0.667 0.333 0.750 1
Ta1 Ta 0.333 0.667 0.750 1
Ta2 Ta 0.667 0.333 0.250 1
O1 O 0.012 0.372 0.639 1
O2 O 0.012 0.639 0.861 1
O3 O 0.361 0.372 0.861 1
O4 O 0.361 0.988 0.639 1
O5 O 0.372 0.012 0.139 1
O6 O 0.372 0.361 0.361 1
O7 O 0.628 0.639 0.639 1
O8 O 0.628 0.988 0.861 1
O9 O 0.639 0.012 0.361 1
O10 O 0.639 0.628 0.139 1
O11 O 0.988 0.361 0.139 1
O12 O 0.988 0.628 0.361 1
```